Record 1
First-principles (PBE-GGA) data for a geometry-optimized MnBe3N structure, as listed in Alexandria.

Lattice parameters (Å, degrees): 4.0307 4.0307 4.0307 90.00 90.00 90.00
Fractional positions:
Be (0.0000, 0.5000, 0.0000)
Be (0.0000, 0.0000, 0.5000)
Be (0.5000, 0.0000, 0.0000)
Mn (0.0000, 0.0000, 0.0000)
N (0.5000, 0.5000, 0.5000)

Calculated values
crystal system = cubic
formation energy (no corrections) = 2.08 eV/atom

Record 2
First-principles (PBE-GGA) data for a geometry-optimized KCaH2S structure, as listed in Alexandria.

Lattice parameters (Å, degrees): 4.6113 5.4560 4.6113 90.00 90.00 90.00
Fractional positions:
S (0.0000, 0.0000, 0.0000)
H (0.0000, 0.0000, 0.5000)
H (0.5000, 0.0000, 0.0000)
Ca (0.5000, 0.5000, 0.5000)
K (0.0000, 0.5000, 0.0000)

Calculated values
DFT total energy = -10.25 eV per cell
crystal system = tetragonal